# 1
# Zr4Sc5N10 PBEsol relaxed
# Formation energy without anion corrections (kJ per mole of atoms): -186.3
data_Zr4Sc5N10
_chemical_formula_sum 'Zr8 Sc10 N20'
_cell_length_a 10.093
_cell_length_b 4.455
_cell_length_c 10.082
_cell_angle_alpha 90.00
_cell_angle_beta 90.07
_cell_angle_gamma 90.00
_symmetry_space_group_name_H-M 'C 1 2/m 1'
_symmetry_Int_Tables_number 12
_symmetry_space_group_name_Hall '-C 2y'
loop_
_atom_site_label
_atom_site_type_symbol
_atom_site_fract_x
_atom_site_fract_y
_atom_site_fract_z
Zr1 Zr 0.094 0.000 0.196
Zr2 Zr 0.200 0.000 0.903
Sc1 Sc 0.000 0.000 0.500
Sc2 Sc 0.100 0.500 0.701
Sc3 Sc 0.198 0.500 0.404
N1 N 0.000 0.000 0.000
N2 N 0.000 0.500 0.500
N3 N 0.100 0.000 0.703
N4 N 0.106 0.500 0.212
N5 N 0.199 0.000 0.400
N6 N 0.215 0.500 0.896

# 2
# Se2N PBEsol relaxed
# Formation energy without anion corrections (kJ per mole of atoms): 7.8
data_Se2N
_chemical_formula_sum 'Se4 N2'
_cell_length_a 4.253
_cell_length_b 5.966
_cell_length_c 8.024
_cell_angle_alpha 111.59
_cell_angle_beta 97.46
_cell_angle_gamma 90.02
_symmetry_space_group_name_H-M 'P 1'
_symmetry_Int_Tables_number 1
_symmetry_space_group_name_Hall 'P 1'
loop_
_atom_site_label
_atom_site_type_symbol
_atom_site_fract_x
_atom_site_fract_y
_atom_site_fract_z
Se1 Se 0.000 0.000 0.000
Se2 Se 0.165 0.670 0.343
Se3 Se 0.372 0.333 0.135
Se4 Se 0.793 0.869 0.208
N1 N 0.567 0.285 0.671
N2 N 0.585 0.472 0.673

| no. | magnetic moment (μB per formula unit) |
| --- | --- |
| 1 | 0.00 |
| 2 | 0.00 |